(1)
# SiP2SCl

Crystalline SiP2SCl at its relaxed geometry (PBEsol, Alexandria via LeMat-Bulk).

E_form (uncorrected) in kJ/mol of formula units: 639
Space group: P4/mmm (123)
E above lowest polymorph in eV/atom: 0.440
Fermi-level density of states in states/eV per atom: 0.76
V in Å³/cell: 93

Cell and atoms, written as CIF:
```
data_SiP2SCl
_symmetry_space_group_name_H-M 'P 1'
_symmetry_Int_Tables_number 1
_symmetry_space_group_name_Hall 'P 1'
_cell_length_a 4.5701
_cell_length_b 4.5701
_cell_length_c 4.4682
_cell_angle_alpha 90.00
_cell_angle_beta 90.00
_cell_angle_gamma 90.00
loop_
_atom_site_label
_atom_site_type_symbol
_atom_site_fract_x
_atom_site_fract_y
_atom_site_fract_z
P1 P 0.0000 0.5000 0.0000
P2 P 0.5000 0.0000 0.0000
S1 S 0.0000 0.0000 0.5000
Si1 Si 0.5000 0.5000 0.5000
Cl1 Cl 0.0000 0.0000 0.0000
```

---

(2)
# ScCdMo2

Crystalline ScCdMo2 at its relaxed geometry (PBEsol, Alexandria via LeMat-Bulk).

Formation energy from the elements in eV/f.u.: 1.207
Space group: Cm (8)
Fermi-level density of states in states/eV per atom: 0.81
V in Å³/cell: 69

Cell and atoms, written as CIF:
```
data_ScCdMo2
_symmetry_space_group_name_H-M 'P 1'
_symmetry_Int_Tables_number 1
_symmetry_space_group_name_Hall 'P 1'
_cell_length_a 2.7572
_cell_length_b 4.9262
_cell_length_c 5.3253
_cell_angle_alpha 93.30
_cell_angle_beta 90.00
_cell_angle_gamma 106.25
loop_
_atom_site_label
_atom_site_type_symbol
_atom_site_fract_x
_atom_site_fract_y
_atom_site_fract_z
Cd1 Cd 0.7475 0.4949 0.2532
Mo1 Mo 0.0091 0.0182 0.9808
Mo2 Mo 0.2505 0.5011 0.7654
Sc1 Sc 0.4929 0.9858 0.5006
```

---

(3)
# Sr2MnAsC

Crystalline Sr2MnAsC at its relaxed geometry (PBEsol, Alexandria via LeMat-Bulk).

Formation energy from the elements in eV/f.u.: 2.976
Space group: P4/mmm (123)
Fermi-level density of states in states/eV per atom: 0.98
V in Å³/cell: 118

Cell and atoms, written as CIF:
```
data_Sr2MnAsC
_symmetry_space_group_name_H-M 'P 1'
_symmetry_Int_Tables_number 1
_symmetry_space_group_name_Hall 'P 1'
_cell_length_a 4.0578
_cell_length_b 5.3951
_cell_length_c 5.3951
_cell_angle_alpha 90.00
_cell_angle_beta 90.00
_cell_angle_gamma 90.00
loop_
_atom_site_label
_atom_site_type_symbol
_atom_site_fract_x
_atom_site_fract_y
_atom_site_fract_z
Sr1 Sr 0.0000 0.0000 0.5000
Sr2 Sr 0.0000 0.5000 0.0000
As1 As 0.5000 0.0000 0.0000
Mn1 Mn 0.5000 0.5000 0.5000
C1 C 0.0000 0.0000 0.0000
```

---

- The lowest V belongs to which entry?
  ScCdMo2